No. 1
First-principles (PBE) data for crystalline Er2ZrCo9 at its relaxed geometry, as listed in Alexandria via LeMat-Bulk.

The calculated volume is 14.0 A^3/atom. For the size of the total moment, the calculation gives 29.76 μB per cell. As for the formation energy: -196 meV per atom.

It has space group R-3m (No. 166, hexagonal axes), with a = 4.8813 Å, b = 4.8813 Å, c = 24.3398 Å, α = 90.00°, β = 90.00° and γ = 120.00°. The inequivalent atoms are Er at (0.0000, 0.0000, 0.1392), Zr at (0.0000, 0.0000, 0.0000), Co at (0.0000, 0.0000, 0.3345), Co at (0.0000, 0.0000, 0.5000) and Co at (0.0022, 0.5011, 0.9194).

=====

No. 2
First-principles (PBE) data for crystalline Er3ZrCo8 at its relaxed geometry, as listed in Alexandria via LeMat-Bulk.

The calculated volume is 14.7 A^3/atom. For the size of the total moment, the calculation gives 19.96 μB per cell. As for the formation energy: -250 meV per atom.

It has space group R3m (No. 160, hexagonal axes), with a = 4.9981 Å, b = 4.9981 Å, c = 24.5008 Å, α = 90.00°, β = 90.00° and γ = 120.00°. The inequivalent atoms are Er at (0.0000, 0.0000, 0.0000), Er at (0.0000, 0.0000, 0.1254), Er at (0.0000, 0.0000, 0.5003), Zr at (0.0000, 0.0000, 0.6248), Co at (0.0000, 0.0000, 0.3124), Co at (0.0000, 0.0000, 0.8126), Co at (0.0025, 0.5013, 0.5641) and Co at (0.1679, 0.3359, 0.3944).

=====

No. 3
First-principles (PBE) data for crystalline EuGa3Co at its relaxed geometry, as listed in Alexandria via LeMat-Bulk.

The calculated volume is 19.4 A^3/atom. For the size of the total moment, the calculation gives 7.19 μB per cell. As for the formation energy: -415 meV per atom.

It has space group Pm-3m (No. 221), with a = 4.5960 Å, b = 4.5960 Å, c = 4.5960 Å, α = 90.00°, β = 90.00° and γ = 90.00°. The inequivalent atoms are Eu at (0.0000, 0.0000, 0.0000), Ga at (0.0000, 0.5000, 0.5000) and Co at (0.5000, 0.5000, 0.5000).